Below is a geometry-optimized TbCoBi2O6 structure, with properties calculated at the GGA+U level.

Unit cell a=9.941 b=5.595 c=10.140 alpha=90.00 beta=107.28 gamma=90.00
Space group C2/c (No. 15)
Inequivalent atoms, fractional coordinates:
Tb (0.000, 0.240, 0.250) x4
Co (0.250, 0.250, 0.000) x4
Bi (0.131, 0.224, 0.615) x8
O (0.085, 0.171, 0.072) x8
O (0.160, 0.067, 0.831) x8
O (0.172, 0.438, 0.402) x8

**DFT total energy**: -6.40 eV/atom